No. 1
Entry from Alexandria via LeMat-Bulk: crystalline InSeN2 at its relaxed geometry (PBE).

Cell: 6.406 6.406 6.406 Å, 30.88 30.88 30.88°
Sites, in units of the cell vectors:
In1 0.000 0.000 0.000
Se1 0.500 0.500 0.500
N1 0.396 0.396 0.396
N2 0.604 0.604 0.604

Properties
**Calculated volume**: 15.36 Å³/atom
**SG**: R-3m, No. 166
**Energy relative to the elements, uncorrected**: 0.7698 eV per atom
**Magnetic moment**: 0.00 μB per atom

***

No. 2
Entry from Alexandria via LeMat-Bulk: crystalline ZnSe at its relaxed geometry (PBE).

Cell: 7.066 7.066 7.066 Å, 90.00 90.00 90.00°
Sites, in units of the cell vectors:
Zn1 0.000 0.250 0.500
Zn2 0.000 0.750 0.500
Zn3 0.250 0.500 0.000
Zn4 0.500 0.000 0.250
Zn5 0.500 0.000 0.750
Zn6 0.750 0.500 0.000
Se1 0.000 0.500 0.250
Se2 0.000 0.500 0.750
Se3 0.250 0.000 0.500
Se4 0.500 0.250 0.000
Se5 0.500 0.750 0.000
Se6 0.750 0.000 0.500

Properties
**Calculated volume**: 29.40 Å³/atom
**SG**: Pm-3n, No. 223
**Energy relative to the elements, uncorrected**: -0.6087 eV per atom
**Magnetic moment**: 0.00 μB per atom

***

No. 3
Entry from Alexandria via LeMat-Bulk: crystalline Dy3MgCd2 at its relaxed geometry (PBE).

Cell: 8.416 8.416 3.761 Å, 90.00 90.00 143.39°
Sites, in units of the cell vectors:
Dy1 0.000 0.000 0.000
Dy2 0.331 0.669 0.000
Dy3 0.669 0.331 0.000
Mg1 0.500 0.500 0.500
Cd1 0.160 0.840 0.500
Cd2 0.840 0.160 0.500

Properties
**ΔH_f (0 K)**: -244 meV per atom
**Calculated volume**: 26.48 Å³/atom
**SG**: Cmmm, No. 65
**Magnetic moment**: 0.00 μB per atom

***

No. 4
Entry from Alexandria via LeMat-Bulk: crystalline Pm3Be2AlPd9 at its relaxed geometry (PBE).

Cell: 5.909 5.909 9.072 Å, 90.00 90.00 120.00°
Sites, in units of the cell vectors:
Pm1 0.000 0.000 0.000
Pm2 0.333 0.667 0.659
Pm3 0.667 0.333 0.341
Be1 0.333 0.667 0.152
Be2 0.667 0.333 0.848
Al1 0.000 0.000 0.500
Pd1 0.000 0.500 0.000
Pd2 0.163 0.326 0.296
Pd3 0.163 0.837 0.296
Pd4 0.326 0.163 0.704
Pd5 0.500 0.000 0.000
Pd6 0.500 0.500 0.000
Pd7 0.674 0.837 0.296
Pd8 0.837 0.163 0.704
Pd9 0.837 0.674 0.704

Properties
**ΔH_f (0 K)**: -690 meV per atom
**Calculated volume**: 18.29 Å³/atom
**SG**: P-3m1, No. 164
**Magnetic moment**: 0.00 μB per atom

***

No. 5
Entry from Alexandria via LeMat-Bulk: crystalline Ba2NaMgAu at its relaxed geometry (PBE).

Cell: 6.358 6.358 5.579 Å, 90.00 90.00 90.00°
Sites, in units of the cell vectors:
Ba1 0.000 0.500 0.000
Ba2 0.500 0.000 0.000
Na1 0.000 0.000 0.500
Mg1 0.500 0.500 0.500
Au1 0.000 0.000 0.000

Properties
**ΔH_f (0 K)**: -180 meV per atom
**Calculated volume**: 45.11 Å³/atom
**SG**: P4/mmm, No. 123
**Magnetic moment**: 0.00 μB per atom

***

No. 6
Entry from Alexandria via LeMat-Bulk: crystalline LiNiPb at its relaxed geometry (PBE).

Cell: 4.497 4.497 3.095 Å, 90.00 90.00 120.00°
Sites, in units of the cell vectors:
Li1 0.000 0.000 0.000
Ni1 0.667 0.333 0.496
Pb1 0.333 0.667 0.502

Properties
**ΔH_f (0 K)**: 18 meV per atom
**Calculated volume**: 18.07 Å³/atom
**SG**: P3m1, No. 156
**Magnetic moment**: 0.00 μB per atom

***

No. 7
Entry from Alexandria via LeMat-Bulk: crystalline Na2SiMoP at its relaxed geometry (PBE).

Cell: 5.712 5.712 4.759 Å, 90.00 90.00 90.00°
Sites, in units of the cell vectors:
Na1 0.000 0.500 0.000
Na2 0.500 0.000 0.000
Si1 0.000 0.000 0.500
Mo1 0.000 0.000 0.000
P1 0.500 0.500 0.500

Properties
**Calculated volume**: 31.05 Å³/atom
**SG**: P4/mmm, No. 123
**Energy relative to the elements, uncorrected**: 1.3275 eV per atom
**Magnetic moment**: 0.97 μB per atom

***

No. 8
Entry from Alexandria via LeMat-Bulk: crystalline SbMoRh2 at its relaxed geometry (PBE).

Cell: 2.963 2.963 7.521 Å, 90.00 90.00 90.00°
Sites, in units of the cell vectors:
Sb1 0.000 0.000 0.000
Mo1 0.000 0.000 0.500
Rh1 0.500 0.500 0.266
Rh2 0.500 0.500 0.734

Properties
**Calculated volume**: 16.51 Å³/atom
**SG**: P4/mmm, No. 123
**Energy relative to the elements, uncorrected**: -0.0382 eV per atom
**Magnetic moment**: 0.00 μB per atom

***

No. 9
Entry from Alexandria via LeMat-Bulk: crystalline AlTc2P at its relaxed geometry (PBE).

Cell: 2.920 4.322 4.761 Å, 90.00 107.62 90.00°
Sites, in units of the cell vectors:
Al1 0.000 0.000 0.000
Tc1 0.349 0.500 0.707
Tc2 0.733 0.000 0.469
P1 0.623 0.500 0.251

Properties
**ΔH_f (0 K)**: -241 meV per atom
**Calculated volume**: 14.31 Å³/atom
**SG**: Pm, No. 6
**Magnetic moment**: 0.00 μB per atom

***

No. 10
Entry from Alexandria via LeMat-Bulk: crystalline Sr2Zn3Ag4Au at its relaxed geometry (PBE).

Cell: 4.614 4.614 10.757 Å, 90.00 90.00 90.00°
Sites, in units of the cell vectors:
Sr1 0.000 0.500 0.246
Sr2 0.500 0.000 0.754
Zn1 0.000 0.000 0.000
Zn2 0.000 0.500 0.621
Zn3 0.500 0.000 0.379
Ag1 0.000 0.000 0.500
Ag2 0.000 0.500 0.859
Ag3 0.500 0.000 0.141
Ag4 0.500 0.500 0.500
Au1 0.500 0.500 0.000

Properties
**ΔH_f (0 K)**: -239 meV per atom
**Calculated volume**: 22.90 Å³/atom
**SG**: P-4m2, No. 115
**Magnetic moment**: 0.00 μB per atom

***

No. 11
Entry from Alexandria via LeMat-Bulk: crystalline CeV2Si at its relaxed geometry (PBE).

Cell: 4.429 4.429 4.429 Å, 60.00 60.00 60.00°
Sites, in units of the cell vectors:
Ce1 0.000 0.000 0.000
V1 0.250 0.250 0.250
V2 0.750 0.750 0.750
Si1 0.500 0.500 0.500

Properties
**Calculated volume**: 15.36 Å³/atom
**SG**: Fm-3m, No. 225
**Energy relative to the elements, uncorrected**: -0.1127 eV per atom
**Magnetic moment**: 0.00 μB per atom

***

No. 12
Entry from Alexandria via LeMat-Bulk: crystalline PmZn12Ga4 at its relaxed geometry (PBE).

Cell: 7.587 7.587 7.587 Å, 109.47 109.47 109.47°
Sites, in units of the cell vectors:
Pm1 0.000 0.000 0.000
Zn1 0.149 0.354 0.503
Zn2 0.149 0.646 0.794
Zn3 0.206 0.851 0.354
Zn4 0.354 0.206 0.851
Zn5 0.354 0.503 0.149
Zn6 0.497 0.851 0.646
Zn7 0.503 0.149 0.354
Zn8 0.646 0.497 0.851
Zn9 0.646 0.794 0.149
Zn10 0.794 0.149 0.646
Zn11 0.851 0.354 0.206
Zn12 0.851 0.646 0.497
Ga1 0.000 0.000 0.500
Ga2 0.000 0.500 0.000
Ga3 0.500 0.000 0.000
Ga4 0.500 0.500 0.500

Properties
**ΔH_f (0 K)**: 142 meV per atom
**Calculated volume**: 19.78 Å³/atom
**SG**: Im-3, No. 204
**Magnetic moment**: 0.00 μB per atom